Record 1
Computed, not measured: a relaxed structure of LiZn4Au at the GGA-PBE level of DFT.

Structure (POSCAR):
```
LiZn4Au
1.0
5.051 0.000 0.000
2.526 4.375 0.000
2.526 1.458 4.124
Au Li Zn
1 1 4
direct
0.250 0.250 0.250
0.000 0.000 0.000
0.125 0.625 0.625
0.625 0.625 0.625
0.625 0.125 0.625
0.625 0.625 0.125
```

* excess energy over the best structure of this formula in the dataset: 0 meV per atom
* final energy: -11.586 eV/cell
* ΔH_f (0 K): -1.30 eV per formula unit


Record 2
Computed, not measured: a relaxed structure of CuMoOs at the GGA-PBE level of DFT.

Structure (POSCAR):
```
CuMoOs
1.0
5.729 -0.023 0.000
4.342 3.738 0.000
-5.035 -1.858 2.004
Cu Mo Os
1 1 1
direct
0.003 0.003 0.000
0.329 0.329 0.000
0.668 0.668 0.000
```

* excess energy over the best structure of this formula in the dataset: 146 meV per atom
* final energy: -25.295 eV/cell
* ΔH_f (0 K): 0.86 eV per formula unit


Record 3
Computed, not measured: a relaxed structure of Rb3SmPa2O9 at the GGA-PBE level of DFT.

Structure (POSCAR):
```
Rb3SmPa2O9
1.0
-6.031 -1.782 0.479
4.613 -4.192 0.962
0.065 1.790 7.490
Rb Sm Pa O
3 1 2 9
direct
0.333 0.667 0.664
0.000 0.000 0.000
0.667 0.333 0.336
0.000 0.000 0.500
0.333 0.667 0.167
0.667 0.333 0.833
0.826 0.174 0.676
0.826 0.651 0.676
0.349 0.174 0.676
0.651 0.826 0.324
0.174 0.349 0.324
0.174 0.826 0.324
0.500 0.000 0.000
0.000 0.500 0.000
0.500 0.500 0.000
```

* final energy: -111.956 eV/cell


Record 4
Computed, not measured: a relaxed structure of TiCoAs2 at the GGA-PBE level of DFT.

Structure (POSCAR):
```
TiCoAs2
1.0
3.687 0.000 0.000
1.844 3.193 0.000
1.844 1.064 5.329
As Co Ti
2 1 1
direct
0.261 0.261 0.217
0.739 0.739 0.783
0.000 0.000 0.000
0.500 0.500 0.500
```

* final energy: -25.584 eV/cell
* ΔH_f (0 K): -1.28 eV per formula unit


Record 5
Computed, not measured: a relaxed structure of BaSrInGa at the GGA-PBE level of DFT.

Structure (POSCAR):
```
BaSrInGa
1.0
-0.152 -5.650 -1.344
4.363 -3.485 1.603
-0.826 -3.957 4.173
Sr Ba Ga In
1 1 1 1
direct
0.500 0.500 0.500
0.000 0.000 0.000
0.250 0.250 0.250
0.750 0.750 0.750
```

* excess energy over the best structure of this formula in the dataset: 18 meV per atom
* final energy: -10.773 eV/cell
* ΔH_f (0 K): -1.40 eV per formula unit


Record 6
Computed, not measured: a relaxed structure of TlPtSeI2 at the GGA-PBE level of DFT.

Structure (POSCAR):
```
TlPtSeI2
1.0
-3.293 -4.986 0.845
4.416 -2.876 0.240
0.234 0.858 5.969
I Tl Se Pt
2 1 1 1
direct
0.000 0.000 0.500
0.500 0.000 0.000
0.000 0.000 0.000
0.000 0.500 0.000
0.500 0.500 0.500
```

* final energy: -9.863 eV/cell


Record 7
Computed, not measured: a relaxed structure of Li8In2Sn3 at the GGA-PBE level of DFT.

Structure (POSCAR):
```
Li8In2Sn3
1.0
-1.602 3.470 -4.098
-2.370 -2.054 -4.644
-10.326 1.307 1.312
Li In Sn
8 2 3
direct
0.726 0.726 0.821
0.274 0.274 0.179
0.223 0.727 0.322
0.727 0.223 0.322
0.727 0.727 0.322
0.273 0.777 0.678
0.777 0.273 0.678
0.273 0.273 0.678
0.637 0.637 0.088
0.363 0.363 0.912
0.000 0.000 0.000
0.817 0.817 0.549
0.183 0.183 0.451
```

* final energy: -35.189 eV/cell
* ΔH_f (0 K): -2.39 eV per formula unit


Record 8
Computed, not measured: a relaxed structure of LiScGe at the GGA-PBE level of DFT.

Structure (POSCAR):
```
LiScGe
1.0
-0.266 4.102 2.924
-4.473 1.155 -2.027
-2.588 -3.015 3.994
Sc Ge Li
2 2 2
direct
0.000 0.000 0.500
0.500 0.500 0.500
0.000 0.500 0.672
0.500 0.000 0.328
0.000 0.500 0.131
0.500 0.000 0.869
```

* final energy: -27.634 eV/cell
* ΔH_f (0 K): -0.95 eV per formula unit


Record 9
Computed, not measured: a relaxed structure of Ac4HgTe3 at the GGA-PBE level of DFT.

Structure (POSCAR):
```
Ac4HgTe3
1.0
4.615 0.000 0.000
0.000 7.894 -2.612
0.000 0.010 8.315
Ac Te Hg
4 3 1
direct
0.000 0.239 0.239
0.500 0.755 0.245
0.000 0.761 0.761
0.500 0.245 0.755
0.000 0.000 0.500
0.500 0.500 0.500
0.000 0.500 0.000
0.500 0.000 0.000
```

* final energy: -36.053 eV/cell


Record 10
Computed, not measured: a relaxed structure of Nd3DyHo2Er6 at the GGA-PBE level of DFT.

Structure (POSCAR):
```
Nd3DyHo2Er6
1.0
-3.485 -4.886 -1.413
5.800 0.346 -2.062
2.936 -3.887 10.670
Nd Dy Ho Er
3 1 2 6
direct
0.167 0.833 0.500
0.833 0.167 0.500
0.500 0.500 0.500
0.000 0.000 0.000
0.333 0.667 0.000
0.667 0.333 0.000
0.918 0.585 0.754
0.749 0.749 0.246
0.082 0.415 0.246
0.585 0.918 0.754
0.251 0.251 0.754
0.415 0.082 0.246
```

* final energy: -55.190 eV/cell
* ΔH_f (0 K): 0.25 eV per formula unit


Record 11
Computed, not measured: a relaxed structure of NdDy2B6 at the GGA-PBE level of DFT.

Structure (POSCAR):
```
NdDy2B6
1.0
3.964 0.000 0.000
0.000 4.968 -2.868
0.000 0.000 5.736
Nd Dy B
1 2 6
direct
0.000 0.000 0.000
0.000 0.333 0.667
0.000 0.667 0.333
0.500 0.339 0.339
0.500 0.661 0.661
0.500 0.000 0.661
0.500 0.661 0.000
0.500 0.339 0.000
0.500 0.000 0.339
```

* final energy: -58.185 eV/cell
* ΔH_f (0 K): -4.15 eV per formula unit


Record 12
Computed, not measured: a relaxed structure of Ti6HgPd8 at the GGA-PBE level of DFT.

Structure (POSCAR):
```
Ti6HgPd8
1.0
-6.304 3.693 0.305
-6.039 -2.820 -3.010
-5.334 -2.184 3.863
Ti Hg Pd
6 1 8
direct
0.402 0.113 0.839
0.887 0.353 0.161
0.353 0.598 0.161
0.647 0.402 0.839
0.113 0.647 0.839
0.598 0.887 0.161
0.000 0.000 0.000
0.591 0.174 0.363
0.826 0.128 0.637
0.128 0.409 0.637
0.731 0.731 0.807
0.269 0.269 0.193
0.872 0.591 0.363
0.174 0.872 0.363
0.409 0.826 0.637
```

* final energy: -94.376 eV/cell
* ΔH_f (0 K): -5.16 eV per formula unit


Number 1 is which compound?
LiZn4Au